[1]
# Pu2TaGe GGA-PBE optimized geometry
# ρ in kg/m3: 15228
data_Pu2TaGe
_space_group_name_H-M_alt 'P 4/m m m'
_space_group_IT_number 123
_space_group_name_Hall '-P 4 2'
_cell_length_a 4.244
_cell_length_b 4.244
_cell_length_c 4.490
_cell_angle_alpha 90.00
_cell_angle_beta 90.00
_cell_angle_gamma 90.00
loop_
_atom_site_label
_atom_site_fract_x
_atom_site_fract_y
_atom_site_fract_z
_atom_site_occupancy
Pu1 0.000 0.500 0.000 1
Ta1 0.000 0.000 0.500 1
Ge1 0.500 0.500 0.500 1



[2]
# Pu2Ta3Ge4 GGA-PBE optimized geometry
# ρ in kg/m3: 12859
data_Pu2Ta3Ge4
_space_group_name_H-M_alt 'P 1 21/c 1'
_space_group_IT_number 14
_space_group_name_Hall '-P 2ybc'
_cell_length_a 7.160
_cell_length_b 7.156
_cell_length_c 7.088
_cell_angle_alpha 90.00
_cell_angle_beta 110.01
_cell_angle_gamma 90.00
loop_
_atom_site_label
_atom_site_fract_x
_atom_site_fract_y
_atom_site_fract_z
_atom_site_occupancy
Pu1 0.179 0.161 0.056 1
Ta1 0.255 0.673 0.248 1
Ta2 0.500 0.000 0.500 1
Ge1 0.088 0.539 0.864 1
Ge2 0.488 0.135 0.863 1



[3]
# PuTa2Ge2 GGA-PBE optimized geometry
# ρ in kg/m3: 12619
data_PuTa2Ge2
_space_group_name_H-M_alt 'I 4/m m m'
_space_group_IT_number 139
_space_group_name_Hall '-I 4 2'
_cell_length_a 4.038
_cell_length_b 4.038
_cell_length_c 12.125
_cell_angle_alpha 90.00
_cell_angle_beta 90.00
_cell_angle_gamma 90.00
loop_
_atom_site_label
_atom_site_fract_x
_atom_site_fract_y
_atom_site_fract_z
_atom_site_occupancy
Pu1 0.000 0.000 0.000 1
Ta1 0.000 0.500 0.250 1
Ge1 0.000 0.000 0.397 1



[4]
# Pu3TaGe5 GGA-PBE optimized geometry
# ρ in kg/m3: 11505
data_Pu3TaGe5
_space_group_name_H-M_alt 'P 63/m c m'
_space_group_IT_number 193
_space_group_name_Hall '-P 6c 2'
_cell_length_a 8.6037
_cell_length_b 8.6037
_cell_length_c 5.7465
_cell_angle_alpha 90.00
_cell_angle_beta 90.00
_cell_angle_gamma 120.00
loop_
_atom_site_label
_atom_site_fract_x
_atom_site_fract_y
_atom_site_fract_z
_atom_site_occupancy
Pu1 0.0000 0.3872 0.2500 1
Ta1 0.0000 0.0000 0.0000 1
Ge1 0.0000 0.2660 0.7500 1
Ge2 0.3333 0.6667 0.0000 1



[5]
# Tb2PuGe4 GGA-PBE optimized geometry
# ρ in kg/m3: 8956
data_Tb2PuGe4
_space_group_name_H-M_alt 'I m m m'
_space_group_IT_number 71
_space_group_name_Hall '-I 2 2'
_cell_length_a 4.005
_cell_length_b 4.302
_cell_length_c 18.345
_cell_angle_alpha 90.00
_cell_angle_beta 90.00
_cell_angle_gamma 90.00
loop_
_atom_site_label
_atom_site_fract_x
_atom_site_fract_y
_atom_site_fract_z
_atom_site_occupancy
Tb1 0.000 0.000 0.182 1
Pu1 0.000 0.500 0.500 1
Ge1 0.000 0.000 0.343 1
Ge2 0.000 0.500 0.067 1



[6]
# TbPu2Ge GGA-PBE optimized geometry
# ρ in kg/m3: 12397
data_TbPu2Ge
_space_group_name_H-M_alt 'P 4/m m m'
_space_group_IT_number 123
_space_group_name_Hall '-P 4 2'
_cell_length_a 4.399
_cell_length_b 4.399
_cell_length_c 4.980
_cell_angle_alpha 90.00
_cell_angle_beta 90.00
_cell_angle_gamma 90.00
loop_
_atom_site_label
_atom_site_fract_x
_atom_site_fract_y
_atom_site_fract_z
_atom_site_occupancy
Tb1 0.000 0.000 0.000 1
Pu1 0.000 0.500 0.500 1
Ge1 0.500 0.500 0.000 1



[7]
# TbPu2Ge2 GGA-PBE optimized geometry
# ρ in kg/m3: 11464
data_TbPu2Ge2
_space_group_name_H-M_alt 'P 1 21/m 1'
_space_group_IT_number 11
_space_group_name_Hall '-P 2yb'
_cell_length_a 5.483
_cell_length_b 3.542
_cell_length_c 12.020
_cell_angle_alpha 90.00
_cell_angle_beta 100.55
_cell_angle_gamma 90.00
loop_
_atom_site_label
_atom_site_fract_x
_atom_site_fract_y
_atom_site_fract_z
_atom_site_occupancy
Tb1 0.228 0.250 0.231 1
Pu1 0.098 0.250 0.553 1
Pu2 0.362 0.750 0.993 1
Ge1 0.281 0.250 0.793 1
Ge2 0.388 0.750 0.429 1



[8]
# Tb2Pu3Ge4 GGA-PBE optimized geometry
# ρ in kg/m3: 10278
data_Tb2Pu3Ge4
_space_group_name_H-M_alt 'P 1 21/c 1'
_space_group_IT_number 14
_space_group_name_Hall '-P 2ybc'
_cell_length_a 7.837
_cell_length_b 7.815
_cell_length_c 7.558
_cell_angle_alpha 90.00
_cell_angle_beta 110.66
_cell_angle_gamma 90.00
loop_
_atom_site_label
_atom_site_fract_x
_atom_site_fract_y
_atom_site_fract_z
_atom_site_occupancy
Tb1 0.189 0.186 0.061 1
Pu1 0.244 0.667 0.215 1
Pu2 0.500 0.000 0.500 1
Ge1 0.079 0.537 0.819 1
Ge2 0.490 0.124 0.883 1



[9]
# Tb2PuGe3 GGA-PBE optimized geometry
# ρ in kg/m3: 8480
data_Tb2PuGe3
_space_group_name_H-M_alt 'I m m m'
_space_group_IT_number 71
_space_group_name_Hall '-I 2 2'
_cell_length_a 4.162
_cell_length_b 5.861
_cell_length_c 12.518
_cell_angle_alpha 90.00
_cell_angle_beta 90.00
_cell_angle_gamma 90.00
loop_
_atom_site_label
_atom_site_fract_x
_atom_site_fract_y
_atom_site_fract_z
_atom_site_occupancy
Tb1 0.000 0.000 0.170 1
Pu1 0.000 0.000 0.500 1
Ge1 0.000 0.500 0.160 1
Ge2 0.000 0.500 0.500 1



[10]
# Tb5PuGe4 GGA-PBE optimized geometry
# ρ in kg/m3: 8372
data_Tb5PuGe4
_space_group_name_H-M_alt 'C 1 2/m 1'
_space_group_IT_number 12
_space_group_name_Hall '-C 2y'
_cell_length_a 15.249
_cell_length_b 5.010
_cell_length_c 6.903
_cell_angle_alpha 90.00
_cell_angle_beta 90.96
_cell_angle_gamma 90.00
loop_
_atom_site_label
_atom_site_fract_x
_atom_site_fract_y
_atom_site_fract_z
_atom_site_occupancy
Tb1 0.000 0.000 0.000 1
Tb2 0.163 0.500 0.495 1
Tb3 0.166 0.500 0.010 1
Pu1 0.000 0.000 0.500 1
Ge1 0.010 0.500 0.754 1
Ge2 0.180 0.000 0.248 1



[11]
# TbPu2Ge GGA-PBE optimized geometry
# ρ in kg/m3: 11965
data_TbPu2Ge
_space_group_name_H-M_alt 'F m -3 m'
_space_group_IT_number 225
_space_group_name_Hall '-F 4 2 3'
_cell_length_a 7.365
_cell_length_b 7.365
_cell_length_c 7.365
_cell_angle_alpha 90.00
_cell_angle_beta 90.00
_cell_angle_gamma 90.00
loop_
_atom_site_label
_atom_site_fract_x
_atom_site_fract_y
_atom_site_fract_z
_atom_site_occupancy
Tb1 0.000 0.000 0.000 1
Pu1 0.250 0.250 0.250 1
Ge1 0.000 0.000 0.500 1



[12]
# Tb4PuGe4 GGA-PBE optimized geometry
# ρ in kg/m3: 7791
data_Tb4PuGe4
_space_group_name_H-M_alt 'I 4/m'
_space_group_IT_number 87
_space_group_name_Hall '-I 4'
_cell_length_a 9.249
_cell_length_b 9.249
_cell_length_c 5.832
_cell_angle_alpha 90.00
_cell_angle_beta 90.00
_cell_angle_gamma 90.00
loop_
_atom_site_label
_atom_site_fract_x
_atom_site_fract_y
_atom_site_fract_z
_atom_site_occupancy
Tb1 0.098 0.697 0.000 1
Pu1 0.000 0.000 0.500 1
Ge1 0.100 0.708 0.500 1



Values of magnetization, in order: 9.6; 10.3; 5.4; 14.9; 5.5; 11.9; 0.0; 16.5; 4.7; 6.1; 12.6; 5.2, all in μB/f.u..
Values of energy of formation from the pure elements, in order: -0.076; -0.443; -0.352; -0.437; -0.632; -0.287; -0.124; -0.578; -0.527; -0.569; 0.043; -0.526, all in eV/atom.